Record 1
Entry from Alexandria via LeMat-Bulk: a geometry-optimized BaAlCl structure (GGA-PBE).

Cell: 5.5677 5.5677 5.5677 Å, 60.00 60.00 60.00°
With the nearest neighbours (Å) after each atom.
Fractional positions:
Al1 0.5000 0.5000 0.5000  4 Ba 3.41
Ba1 0.2500 0.2500 0.2500  4 Al 3.41, 4 Cl 3.41
Cl1 0.0000 0.0000 0.0000  4 Ba 3.41

Properties
space-group type: No. 216
relative energy among the computed polymorphs: 0.96 eV/f.u.

Record 2
Entry from Alexandria via LeMat-Bulk: a geometry-optimized BaAlCo2Cl structure (GGA-PBE).

Cell: 4.9617 7.0421 4.9617 Å, 90.00 90.00 90.00°
With the nearest neighbours (Å) after each atom.
Fractional positions:
Al1 0.0000 0.5000 0.0000  4 Cl 3.51, 2 Ba 3.52
Co1 0.0000 0.0000 0.5000  2 Ba 2.48
Co2 0.5000 0.0000 0.0000  2 Ba 2.48
Ba1 0.0000 0.0000 0.0000  4 Co 2.48
Cl1 0.5000 0.5000 0.5000  4 Al 3.51

Properties
space-group type: No. 123

Record 3
Entry from Alexandria via LeMat-Bulk: a geometry-optimized CsBaAl2Cl8 structure (GGA-PBE).

Cell: 6.9661 6.9661 10.9203 Å, 71.40 71.40 60.00°
With the nearest neighbours (Å) after each atom.
Fractional positions:
Cs1 0.5000 0.5000 0.5000  12 Cl 3.94-4.03
Ba1 0.0000 0.0000 0.0000  6 Cl 3.19
Al1 0.2468 0.2468 0.2595  4 Cl 2.18-2.23
Al2 0.7532 0.7532 0.7405  4 Cl 2.18-2.23
Cl1 0.1752 0.1752 0.4744  1 Al 2.18
Cl2 0.5596 0.2978 0.1857  1 Al 2.23
Cl3 0.8248 0.8248 0.5256  1 Al 2.18
Cl4 0.9569 0.5596 0.1857  1 Al 2.23
Cl5 0.0431 0.4404 0.8143  1 Al 2.23
Cl6 0.2978 0.9569 0.1857  1 Al 2.23
Cl7 0.7022 0.0431 0.8143  1 Al 2.23
Cl8 0.4404 0.7022 0.8143  1 Al 2.23

Properties
space-group type: No. 148

| no. | ΔE_f (raw) (meV/atom) |
| --- | --- |
| 1 | -345.5 |
| 2 | 1647.5 |
| 3 | -1681.1 |